1.
# PBE Y3TiV, optimized geometry
# space group: Pm-3m (221)
# calculated total energy: -6.498 eV per atom
data_Y3TiV
_cell_length_a 5.249
_cell_length_b 5.249
_cell_length_c 5.249
_cell_angle_alpha 90.00
_cell_angle_beta 90.00
_cell_angle_gamma 90.00
_symmetry_space_group_name_H-M 'P 1'
_symmetry_Int_Tables_number 1
loop_
_symmetry_equiv_pos_as_xyz
'x,y,z'
loop_
_atom_site_label
_atom_site_type_symbol
_atom_site_fract_x
_atom_site_fract_y
_atom_site_fract_z
V1 V 0.000 0.000 0.000
Y1 Y 0.000 0.000 0.500
Y2 Y 0.500 0.000 0.000
Ti1 Ti 0.500 0.500 0.500
Y3 Y 0.000 0.500 0.000

***

2.
# PBE CeErHgGe, optimized geometry
# space group: F-43m (216)
# calculated total energy: -4.343 eV per atom
data_CeErHgGe
_cell_length_a 5.196
_cell_length_b 5.196
_cell_length_c 5.196
_cell_angle_alpha 60.00
_cell_angle_beta 60.00
_cell_angle_gamma 60.00
_symmetry_space_group_name_H-M 'P 1'
_symmetry_Int_Tables_number 1
loop_
_symmetry_equiv_pos_as_xyz
'x,y,z'
loop_
_atom_site_label
_atom_site_type_symbol
_atom_site_fract_x
_atom_site_fract_y
_atom_site_fract_z
Ge1 Ge 0.250 0.250 0.250
Er1 Er 0.000 0.000 0.000
Hg1 Hg 0.750 0.750 0.750
Ce1 Ce 0.500 0.500 0.500

***

3.
# PBE Mg2BF, optimized geometry
# space group: P1 (1)
# raw formation energy: -26.21 kcal/mol of atoms
# excess energy over the best structure of this formula in the dataset: 31.1 meV/atom
data_Mg2BF
_cell_length_a 3.107
_cell_length_b 6.017
_cell_length_c 6.455
_cell_angle_alpha 93.17
_cell_angle_beta 104.00
_cell_angle_gamma 90.04
_symmetry_space_group_name_H-M 'P 1'
_symmetry_Int_Tables_number 1
loop_
_symmetry_equiv_pos_as_xyz
'x,y,z'
loop_
_atom_site_label
_atom_site_type_symbol
_atom_site_fract_x
_atom_site_fract_y
_atom_site_fract_z
Mg1 Mg 0.299 0.739 0.076
Mg2 Mg 0.746 0.157 0.971
F1 F 0.594 0.242 0.665
B1 B 0.372 0.378 0.221
B2 B 0.883 0.445 0.244
F2 F 0.140 0.612 0.756
Mg3 Mg 0.986 0.101 0.449
Mg4 Mg 0.539 0.603 0.554

***

4.
# PBE LaAl3As, optimized geometry
# space group: Pm-3m (221)
# excess energy over the best structure of this formula in the dataset: 0.0 meV/atom
data_LaAl3As
_cell_length_a 4.992
_cell_length_b 4.992
_cell_length_c 4.992
_cell_angle_alpha 90.00
_cell_angle_beta 90.00
_cell_angle_gamma 90.00
_symmetry_space_group_name_H-M 'P 1'
_symmetry_Int_Tables_number 1
loop_
_symmetry_equiv_pos_as_xyz
'x,y,z'
loop_
_atom_site_label
_atom_site_type_symbol
_atom_site_fract_x
_atom_site_fract_y
_atom_site_fract_z
As1 As 0.000 0.000 0.000
Al1 Al 0.000 0.500 0.000
Al2 Al 0.000 0.000 0.500
Al3 Al 0.500 0.000 0.000
La1 La 0.500 0.500 0.500

***

5.
# PBE PrAlGe2Pd4, optimized geometry
# space group: R-3m (166)
# calculated total energy: -5.512 eV per atom
data_PrAlGe2Pd4
_cell_length_a 4.326
_cell_length_b 4.326
_cell_length_c 9.208
_cell_angle_alpha 76.41
_cell_angle_beta 76.41
_cell_angle_gamma 60.00
_symmetry_space_group_name_H-M 'P 1'
_symmetry_Int_Tables_number 1
loop_
_symmetry_equiv_pos_as_xyz
'x,y,z'
loop_
_atom_site_label
_atom_site_type_symbol
_atom_site_fract_x
_atom_site_fract_y
_atom_site_fract_z
Ge1 Ge 0.747 0.747 0.758
Pd1 Pd 0.863 0.863 0.412
Pr1 Pr 0.000 0.000 0.000
Pd2 Pd 0.137 0.137 0.588
Pd3 Pd 0.408 0.408 0.776
Pd4 Pd 0.592 0.592 0.224
Ge2 Ge 0.253 0.253 0.242
Al1 Al 0.500 0.500 0.500

***

6.
# PBE Ba3Tm2O6, optimized geometry
# space group: I4/mmm (139)
# raw formation energy: -69.47 kcal/mol of atoms
data_Ba3Tm2O6
_cell_length_a 4.352
_cell_length_b 4.352
_cell_length_c 11.294
_cell_angle_alpha 101.11
_cell_angle_beta 101.11
_cell_angle_gamma 90.00
_symmetry_space_group_name_H-M 'P 1'
_symmetry_Int_Tables_number 1
loop_
_symmetry_equiv_pos_as_xyz
'x,y,z'
loop_
_atom_site_label
_atom_site_type_symbol
_atom_site_fract_x
_atom_site_fract_y
_atom_site_fract_z
Ba1 Ba 0.183 0.183 0.365
O1 O 0.584 0.084 0.167
O2 O 0.416 0.916 0.833
Tm1 Tm 0.398 0.398 0.796
Ba2 Ba 0.000 0.000 0.000
O3 O 0.698 0.698 0.396
O4 O 0.302 0.302 0.604
Tm2 Tm 0.602 0.602 0.204
O5 O 0.084 0.584 0.167
O6 O 0.916 0.416 0.833
Ba3 Ba 0.817 0.817 0.635